No. 1
{"formula": "TlCdRe2Ag", "functional": "PBE-GGA", "state": "relaxed", "space_group": "P4/mmm, No. 123", "delta_e_f_mev_per_atom": 2543, "cell": [[5.138, 0.000, 0.000], [0.000, 5.138, 0.000], [0.000, 0.000, 5.214]], "species": ["Tl", "Cd", "Re", "Re", "Ag"], "fractional_positions": [[0.000, 0.000, 0.000], [0.000, 0.000, 0.500], [0.000, 0.500, 0.000], [0.500, 0.000, 0.000], [0.500, 0.500, 0.500]]}

***

No. 2
{"formula": "YCdRe2Ag", "functional": "PBE-GGA", "state": "relaxed", "space_group": "P4/mmm, No. 123", "delta_e_f_mev_per_atom": 1818, "cell": [[4.988, 0.000, 0.000], [0.000, 4.988, 0.000], [0.000, 0.000, 4.894]], "species": ["Y", "Cd", "Re", "Re", "Ag"], "fractional_positions": [[0.000, 0.000, 0.000], [0.500, 0.500, 0.500], [0.000, 0.500, 0.500], [0.500, 0.000, 0.500], [0.500, 0.500, 0.000]]}

***

No. 3
{"formula": "Cd2Ag2Rh", "functional": "PBE-GGA", "state": "relaxed", "space_group": "Cmmm, No. 65", "de_polymorph_ev_per_atom": 0.000, "delta_e_f_mev_per_atom": 9, "cell": [[3.821, 0.000, 0.000], [0.000, 16.186, 0.000], [0.000, 0.000, 3.015]], "species": ["Cd", "Cd", "Cd", "Cd", "Ag", "Ag", "Ag", "Ag", "Rh", "Rh"], "fractional_positions": [[0.000, 0.092, 0.000], [0.000, 0.908, 0.000], [0.500, 0.408, 0.000], [0.500, 0.592, 0.000], [0.000, 0.312, 0.500], [0.000, 0.688, 0.500], [0.500, 0.188, 0.500], [0.500, 0.812, 0.500], [0.000, 0.500, 0.500], [0.500, 0.000, 0.500]]}

***

No. 4
{"formula": "CdAg2Rh2", "functional": "PBE-GGA", "state": "relaxed", "space_group": "I4/mmm, No. 139", "de_polymorph_ev_per_atom": 0.053, "delta_e_f_mev_per_atom": 376, "cell": [[3.607, 0.000, 0.000], [0.000, 3.607, 0.000], [0.000, 0.000, 14.300]], "species": ["Cd", "Cd", "Ag", "Ag", "Ag", "Ag", "Rh", "Rh", "Rh", "Rh"], "fractional_positions": [[0.000, 0.000, 0.000], [0.500, 0.500, 0.500], [0.000, 0.000, 0.401], [0.000, 0.000, 0.599], [0.500, 0.500, 0.099], [0.500, 0.500, 0.901], [0.000, 0.500, 0.250], [0.000, 0.500, 0.750], [0.500, 0.000, 0.250], [0.500, 0.000, 0.750]]}

***

No. 5
{"formula": "Cd10Ag6Rh", "functional": "PBE-GGA", "state": "relaxed", "space_group": "P-31m, No. 162", "delta_e_f_mev_per_atom": -1, "cell": [[8.298, 0.000, 0.000], [-4.149, 7.186, 0.000], [0.000, 0.000, 5.736]], "species": ["Cd", "Cd", "Cd", "Cd", "Cd", "Cd", "Cd", "Cd", "Cd", "Cd", "Ag", "Ag", "Ag", "Ag", "Ag", "Ag", "Rh"], "fractional_positions": [[0.000, 0.263, 0.296], [0.000, 0.737, 0.704], [0.263, 0.000, 0.296], [0.263, 0.263, 0.704], [0.333, 0.667, 0.000], [0.333, 0.667, 0.500], [0.667, 0.333, 0.000], [0.667, 0.333, 0.500], [0.737, 0.000, 0.704], [0.737, 0.737, 0.296], [0.000, 0.380, 0.791], [0.000, 0.620, 0.209], [0.380, 0.000, 0.791], [0.380, 0.380, 0.209], [0.620, 0.000, 0.209], [0.620, 0.620, 0.791], [0.000, 0.000, 0.000]]}

***

No. 6
{"formula": "Cd3AgRh", "functional": "PBE-GGA", "state": "relaxed", "space_group": "Pm-3m, No. 221", "de_polymorph_ev_per_atom": 0.416, "delta_e_f_mev_per_atom": 366, "cell": [[5.132, 0.000, 0.000], [0.000, 5.132, 0.000], [0.000, 0.000, 5.132]], "species": ["Cd", "Cd", "Cd", "Ag", "Rh"], "fractional_positions": [[0.000, 0.000, 0.500], [0.000, 0.500, 0.000], [0.500, 0.000, 0.000], [0.500, 0.500, 0.500], [0.000, 0.000, 0.000]]}

***

No. 7
{"formula": "Cd6Ag8Rh", "functional": "PBE-GGA", "state": "relaxed", "space_group": "R-3, No. 148", "delta_e_f_mev_per_atom": -2, "cell": [[3.699, 2.135, 6.143], [-3.699, 2.135, 6.143], [0.000, -4.271, 6.143]], "species": ["Cd", "Cd", "Cd", "Cd", "Cd", "Cd", "Ag", "Ag", "Ag", "Ag", "Ag", "Ag", "Ag", "Ag", "Rh"], "fractional_positions": [[0.050, 0.563, 0.726], [0.274, 0.950, 0.437], [0.437, 0.274, 0.950], [0.563, 0.726, 0.050], [0.726, 0.050, 0.563], [0.950, 0.437, 0.274], [0.099, 0.812, 0.273], [0.188, 0.727, 0.901], [0.273, 0.099, 0.812], [0.344, 0.344, 0.344], [0.656, 0.656, 0.656], [0.727, 0.901, 0.188], [0.812, 0.273, 0.099], [0.901, 0.188, 0.727], [0.500, 0.500, 0.500]]}

***

No. 8
{"formula": "Cd3Ag2Rh", "functional": "PBE-GGA", "state": "relaxed", "space_group": "P4/mmm, No. 123", "de_polymorph_ev_per_atom": 0.004, "delta_e_f_mev_per_atom": -71, "cell": [[3.269, 0.000, 0.000], [0.000, 3.269, 0.000], [0.000, 0.000, 10.386]], "species": ["Cd", "Cd", "Cd", "Ag", "Ag", "Rh"], "fractional_positions": [[0.000, 0.000, 0.000], [0.000, 0.000, 0.347], [0.000, 0.000, 0.653], [0.500, 0.500, 0.174], [0.500, 0.500, 0.826], [0.500, 0.500, 0.500]]}